Computed, not measured: Rb2ZnPtF6 after structural relaxation at the PBE-GGA level of DFT.

Structure (POSCAR):
```
Rb2ZnPtF6
1.0
6.109 0.000 0.000
0.000 6.109 0.000
3.055 3.055 4.320
F Rb Pt Zn
6 2 1 1
Cartesian
6.109 6.109 2.253
1.593 4.517 0.000
3.055 3.055 2.067
1.593 1.593 0.000
4.517 1.593 0.000
4.517 4.517 0.000
3.055 6.109 2.160
6.109 3.055 2.160
0.000 0.000 0.000
3.055 3.055 0.000
```

Summary:
D(E_F) ... 0.000 states/eV per atom
SG ... Fm-3m (225)
Formation energy without anion corrections ... -2.037 eV per atom